No. 1
TlAg3Os | GGA-PBE | optimized geometry

Results
M_tot   2.3 μB per formula unit
Polymorph energy (0 for the lowest one)   0.0000 eV/atom
ΔH_f (0 K)   1.235 eV/atom
N(E_F)   4.220 states/eV/cell

Cell: 5.166 5.166 5.166 Å, 90.00 90.00 90.00°
Space group Pm-3m (No. 221)
One atom of each set of equivalent atoms:
Tl: 0.000 0.000 0.000 x1
Ag: 0.000 0.500 0.500 x3
Os: 0.500 0.500 0.500 x1

=====

No. 2
TlAgOs4 | GGA-PBE | optimized geometry

Results
M_tot   1.7 μB per formula unit
ΔH_f (0 K)   1.014 eV/atom
N(E_F)   32.733 states/eV/cell

Cell: 7.453 7.453 7.453 Å, 90.00 90.00 90.00°
Space group F-43m (No. 216)
One atom of each set of equivalent atoms:
Tl: 0.000 0.000 0.000 x4
Ag: 0.250 0.250 0.250 x4
Os: 0.125 0.125 0.625 x16

=====

No. 3
TlAgOs | GGA-PBE | optimized geometry

Results
M_tot   0.7 μB per formula unit
Polymorph energy (0 for the lowest one)   0.0000 eV/atom
ΔH_f (0 K)   0.855 eV/atom
N(E_F)   2.264 states/eV/cell

Cell: 2.9712 2.9712 7.3384 Å, 90.00 90.00 120.00°
Space group P3m1 (No. 156)
One atom of each set of equivalent atoms:
Tl: 0.0000 0.0000 0.0000 x1
Ag: 0.3333 0.6667 0.3589 x1
Os: 0.6667 0.3333 0.6713 x1

=====

No. 4
Tl3AgOs | GGA-PBE | optimized geometry

Results
M_tot   0.0 μB per formula unit
Polymorph energy (0 for the lowest one)   0.0000 eV/atom
ΔH_f (0 K)   0.642 eV/atom
N(E_F)   5.194 states/eV/cell

Cell: 5.295 5.295 5.295 Å, 90.00 90.00 90.00°
Space group Pm-3m (No. 221)
One atom of each set of equivalent atoms:
Tl: 0.000 0.000 0.500 x3
Ag: 0.500 0.500 0.500 x1
Os: 0.000 0.000 0.000 x1

=====

No. 5
TlAgOs | GGA-PBE | optimized geometry

Results
M_tot   0.8 μB per formula unit
Polymorph energy (0 for the lowest one)   0.0414 eV/atom
ΔH_f (0 K)   0.897 eV/atom
N(E_F)   9.963 states/eV/cell

Cell: 2.990 5.074 14.936 Å, 90.00 90.00 90.00°
Space group Fmm2 (No. 42)
One atom of each set of equivalent atoms:
Tl: 0.000 0.000 0.000 x4
Ag: 0.000 0.000 0.323 x4
Os: 0.000 0.000 0.665 x4

=====

No. 6
Tm2AgOs | GGA-PBE | optimized geometry

Results
M_tot   0.0 μB per formula unit
Polymorph energy (0 for the lowest one)   0.0000 eV/atom
ΔH_f (0 K)   -0.382 eV/atom
N(E_F)   2.098 states/eV/cell

Cell: 3.367 3.367 7.493 Å, 90.00 90.00 90.00°
Space group P4/mmm (No. 123)
One atom of each set of equivalent atoms:
Tm: 0.000 0.000 0.220 x2
Ag: 0.500 0.500 0.500 x1
Os: 0.500 0.500 0.000 x1